Density functional theory data (PBE) for an optimized crystal structure of FePd5Pt.

Structure (extended XYZ):
```
7
Lattice="3.955 0.000 0.000 0.000 3.955 0.000 0.000 0.000 7.140" Properties=species:S:1:pos:R:3 pbc="T T T"
Pd 0.000 1.978 1.555
Pd 0.000 1.978 5.585
Pd 1.978 0.000 5.585
Pd 1.978 1.978 3.570
Pd 1.978 0.000 1.555
Fe 1.978 1.978 0.000
Pt 0.000 0.000 3.570
```

Values from the calculation:
space group: No. 123
VASP energy: -5.715 eV per atom
crystal system: tetragonal
energy of formation: 0.07 eV/atom


Density functional theory data (PBE) for an optimized crystal structure of ZnIr2Pt.

Structure (extended XYZ):
```
4
Lattice="3.867 0.000 0.000 0.000 2.770 0.005 0.000 2.755 5.522" Properties=species:S:1:pos:R:3 pbc="T T T"
Ir 0.000 2.766 0.094
Ir 1.933 1.380 1.263
Pt 0.000 2.765 2.837
Zn 1.933 4.146 4.100
```

Values from the calculation:
space group: No. 6
VASP energy: -6.366 eV per atom
crystal system: monoclinic
energy of formation: -0.11 eV/atom


Density functional theory data (PBE) for an optimized crystal structure of Th4Tc2Sb.

Structure (extended XYZ):
```
14
Lattice="0.237 4.258 6.643 -7.263 -0.409 -3.065 2.319 -7.421 1.776" Properties=species:S:1:pos:R:3 pbc="T T T"
Tc -1.148 -2.679 3.312
Tc -5.313 0.068 2.937
Tc -1.394 1.601 3.607
Tc -1.556 -6.137 0.852
Th 0.552 -0.200 3.078
Th 0.841 -2.326 5.932
Th -2.728 -1.165 4.886
Th -3.178 -4.822 2.558
Th -3.890 2.544 3.999
Th -0.589 1.220 6.522
Th -3.061 -0.322 1.491
Th 0.707 -4.537 2.663
Sb -4.697 -3.577 5.349
Sb -4.219 -2.957 0.247
```

Values from the calculation:
space group: No. 43
VASP energy: -8.030 eV per atom
crystal system: orthorhombic
formation energy (no corrections): -239 meV/atom
ΔE to the lowest computed polymorph: 139 meV per atom


Density functional theory data (PBE) for an optimized crystal structure of LaTb6DyHo2.

Structure (extended XYZ):
```
20
Lattice="-5.247 1.262 -7.851 5.071 -6.142 -3.794 -6.891 -2.813 4.737" Properties=species:S:1:pos:R:3 pbc="T T T"
Tb -2.199 -4.903 -9.560
Tb 1.787 -3.247 -3.476
Tb -4.868 -2.790 2.653
Tb -7.356 -0.802 -2.753
Tb -0.379 -5.567 -1.294
Tb 0.289 -6.891 -4.155
Tb -6.688 -2.126 -5.613
Tb -8.853 -4.446 -3.431
Tb -5.643 -4.201 -3.337
Tb -7.121 -3.434 -0.254
Tb -1.424 -3.492 -3.571
Tb 0.054 -4.259 -6.654
Ho -0.095 -2.373 -0.596
Ho -3.967 -1.394 -3.630
Ho -3.100 -6.299 -3.277
Ho -6.972 -5.320 -6.312
Dy -3.297 -3.863 -0.724
Dy -3.770 -3.830 -6.184
La 3.395 -5.725 -5.496
La -10.462 -1.968 -1.411
```

Values from the calculation:
space group: No. 15
VASP energy: -4.526 eV per atom
crystal system: monoclinic
energy of formation: 0.12 eV/atom